No. 1
Below is In2NiAs after structural relaxation, with properties calculated at the PBE level.

Output
Size of the total moment: 0.0 μB/f.u.
ΔE_f: -0.057 eV/atom

a = 9.5515 Å, b = 3.1271 Å, c = 6.0722 Å
α = 90.00°, β = 113.21°, γ = 90.00°
Space group Cm (No. 8)
Asymmetric unit:
1 In 0.0000 0.0000 0.0000
2 In 0.1719 0.0000 0.6282
3 Ni 0.4400 0.0000 0.6056
4 As 0.3262 0.5000 0.2847



No. 2
Below is Mn3Rh4 after structural relaxation, with properties calculated at the PBE level.

Output
Size of the total moment: 0.0 μB/f.u.
ΔE_f: 0.076 eV/atom
Energy relative to the lowest polymorph listed for this composition: 0.082 eV per atom

a = 4.6302 Å, b = 4.6302 Å, c = 4.8615 Å
α = 90.00°, β = 90.00°, γ = 120.00°
Space group P6/mmm (No. 191)
Asymmetric unit:
1 Mn 0.0000 0.5000 0.0000
2 Rh 0.0000 0.0000 0.2536
3 Rh 0.3333 0.6667 0.5000